1.
K2ThMo3O12 | the Alexandria database | PBE+U | optimized geometry; electronic total energy = -126.3 eV per formula unit; magnetic moment = 0.00 μB/f.u.
1.0
3.757 2.169 6.397
-3.757 2.169 6.397
0.000 -4.338 6.397
K Th Mo O
2 1 3 12
direct
0.164 0.164 0.164 K
0.836 0.836 0.836 K
0.500 0.500 0.500 Th
0.000 0.500 0.500 Mo
0.500 0.000 0.500 Mo
0.500 0.500 0.000 Mo
0.139 0.579 0.579 O
0.204 0.204 0.562 O
0.204 0.562 0.204 O
0.421 0.421 0.861 O
0.421 0.861 0.421 O
0.438 0.796 0.796 O
0.562 0.204 0.204 O
0.579 0.139 0.579 O
0.579 0.579 0.139 O
0.796 0.438 0.796 O
0.796 0.796 0.438 O
0.861 0.421 0.421 O

2.
MoAuN2O | the Alexandria database | PBE+U | optimized geometry; electronic total energy = -23.9 eV per formula unit; magnetic moment = 1.58 μB/f.u.
1.0
4.033 0.000 0.000
0.000 4.033 0.000
0.000 0.000 4.241
Mo Au N O
1 1 2 1
direct
0.000 0.000 0.000 Mo
0.500 0.500 0.500 Au
0.000 0.500 0.500 N
0.500 0.000 0.500 N
0.500 0.500 0.000 O

3.
Ta2MoO8 | the Alexandria database | PBE+U | optimized geometry; electronic total energy = -93.6 eV per formula unit; magnetic moment = 0.00 μB/f.u.; energy relative to the lowest polymorph listed for this composition = 0.169 eV/atom
1.0
10.001 -3.079 0.000
10.001 3.079 0.000
-0.034 0.000 5.122
Ta Mo O
4 2 16
direct
0.052 0.683 0.754 Ta
0.317 0.948 0.746 Ta
0.683 0.052 0.254 Ta
0.948 0.317 0.246 Ta
0.339 0.661 0.250 Mo
0.661 0.339 0.750 Mo
0.078 0.242 0.577 O
0.107 0.779 0.078 O
0.193 0.431 0.858 O
0.221 0.893 0.422 O
0.242 0.078 0.077 O
0.334 0.560 0.570 O
0.431 0.193 0.358 O
0.440 0.666 0.930 O
0.560 0.334 0.070 O
0.569 0.807 0.642 O
0.666 0.440 0.430 O
0.758 0.922 0.923 O
0.779 0.107 0.578 O
0.807 0.569 0.142 O
0.893 0.221 0.922 O
0.922 0.758 0.423 O

Question: Look up the electronic total energy of the third one.
Answer: -93.6 eV per formula unit

Question: Which value of electronic total energy does entry 1 give?
Answer: -126.3 eV per formula unit

Question: Which value of magnetic moment does entry 3 give?
Answer: 0.00 μB/f.u.

Question: The lowest electronic total energy belongs to which entry?
Answer: K2ThMo3O12